Below is Tl2FeCu after structural relaxation, with properties calculated at the PBEsol level.

Cell: 3.872 3.872 9.489 Å, 90.00 90.00 90.00°
Space group I-4m2 (No. 119)
Inequivalent atoms, fractional coordinates:
Tl (0.000, 0.000, 0.000) [2 per cell]
Tl (0.000, 0.500, 0.250) [2 per cell]
Fe (0.000, 0.500, 0.750) [2 per cell]
Cu (0.000, 0.000, 0.500) [2 per cell]

***

Below is TlFe2Cu after structural relaxation, with properties calculated at the PBEsol level.

Cell: 3.711 3.711 3.997 Å, 90.00 90.00 90.00°
Space group P4/mmm (No. 123)
Inequivalent atoms, fractional coordinates:
Tl (0.000, 0.000, 0.000) [1 per cell]
Fe (0.000, 0.500, 0.500) [2 per cell]
Cu (0.500, 0.500, 0.000) [1 per cell]

***

Below is Tl2FeCu after structural relaxation, with properties calculated at the PBEsol level.

Cell: 10.886 2.992 4.639 Å, 90.00 108.05 90.00°
Space group Cm (No. 8)
Inequivalent atoms, fractional coordinates:
Tl (0.000, 0.000, 0.000) [2 per cell]
Tl (0.216, 0.000, 0.639) [2 per cell]
Fe (0.252, 0.500, 0.158) [2 per cell]
Cu (0.437, 0.000, 0.450) [2 per cell]

***

Below is Tl2Fe2Cu after structural relaxation, with properties calculated at the PBEsol level.

Cell: 3.301 3.301 15.795 Å, 90.00 90.00 90.00°
Space group I4/mmm (No. 139)
Inequivalent atoms, fractional coordinates:
Tl (0.000, 0.000, 0.106) [4 per cell]
Fe (0.000, 0.500, 0.250) [4 per cell]
Cu (0.000, 0.000, 0.500) [2 per cell]

***

Below is TlFe2Cu after structural relaxation, with properties calculated at the PBEsol level.

Cell: 2.822 2.822 7.081 Å, 90.00 90.00 90.00°
Space group P4/mmm (No. 123)
Inequivalent atoms, fractional coordinates:
Tl (0.000, 0.000, 0.000) [1 per cell]
Fe (0.500, 0.500, 0.290) [2 per cell]
Cu (0.000, 0.000, 0.500) [1 per cell]

***

Below is Tl2FeCu after structural relaxation, with properties calculated at the PBEsol level.

Cell: 3.150 3.150 7.591 Å, 90.00 90.00 90.00°
Space group P4mm (No. 99)
Inequivalent atoms, fractional coordinates:
Tl (0.000, 0.000, 0.000) [1 per cell]
Tl (0.500, 0.500, 0.363) [1 per cell]
Fe (0.500, 0.500, 0.758) [1 per cell]
Cu (0.000, 0.000, 0.610) [1 per cell]

***

no.,formation energy (eV/atom),energy above the most stable polymorph in this dataset (meV/atom)
1,0.58,139
2,0.40,0
3,0.47,31
4,0.57,0
5,0.51,115
6,0.44,0